VASP calculation (PBE-GGA) on a relaxed structure of LaBeGaPt6.

Values from the calculation:
Volume   19.09 A^3/atom
Energy of formation   -0.50 eV/atom
D(E_F)   0.48 states/eV/atom
VASP energy   -104.867 eV per cell
Symmetry   Imma (74)

```
LaBeGaPt6
1.0
-3.7124 4.1079 5.6329
3.7124 -4.1079 5.6329
3.7124 4.1079 -5.6329
La Be Ga Pt
2 2 2 12
Direct
0.4094 0.1594 0.2500 La
0.5906 0.8406 0.7500 La
0.0000 0.5000 0.5000 Be
0.5000 0.5000 0.0000 Be
0.0000 0.0000 0.5000 Ga
0.0000 0.5000 0.0000 Ga
0.1140 0.3788 0.2519 Pt
0.1140 0.8621 0.7352 Pt
0.1470 0.8970 0.2500 Pt
0.3383 0.5883 0.7500 Pt
0.3731 0.1379 0.7519 Pt
0.3731 0.6212 0.2352 Pt
0.6269 0.3788 0.7648 Pt
0.6269 0.8621 0.2481 Pt
0.6617 0.4117 0.2500 Pt
0.8530 0.1030 0.7500 Pt
0.8860 0.1379 0.2648 Pt
0.8860 0.6212 0.7481 Pt
```

---

VASP calculation (PBE-GGA) on a relaxed structure of NaCuAs.

Values from the calculation:
Volume   20.69 A^3/atom
Energy of formation   -0.05 eV/atom
D(E_F)   0.45 states/eV/atom
VASP energy   -20.426 eV per cell
Symmetry   Cmcm (63)

```
NaCuAs
1.0
2.9076 -3.9091 0.0000
2.9076 3.9091 0.0000
0.0000 0.0000 5.4603
Na Cu As
2 2 2
Direct
0.1271 0.8729 0.7500 Na
0.8729 0.1271 0.2500 Na
0.5000 0.5000 0.0000 Cu
0.5000 0.5000 0.5000 Cu
0.2565 0.7435 0.2500 As
0.7435 0.2565 0.7500 As
```

---

VASP calculation (PBE-GGA) on a relaxed structure of YCuSi2.

Values from the calculation:
Volume   18.06 A^3/atom
Raw formation energy   -0.21 eV/atom
D(E_F)   0.35 states/eV/atom
VASP energy   -22.256 eV per cell
Symmetry   Cmmm (65)

```
YCuSi2
1.0
2.0675 -2.7322 0.0000
2.0675 2.7322 0.0000
0.0000 0.0000 6.3939
Y Cu Si
1 1 2
Direct
0.0000 0.0000 0.0000 Y
0.0000 0.0000 0.5000 Cu
0.5000 0.5000 0.3076 Si
0.5000 0.5000 0.6924 Si
```

---

VASP calculation (PBE-GGA) on a relaxed structure of TePb3Se.

Values from the calculation:
Volume   42.76 A^3/atom
Raw formation energy   0.49 eV/atom
ΔE to the lowest computed polymorph   348 meV per atom
D(E_F)   1.03 states/eV/atom
VASP energy   -15.305 eV per cell
Symmetry   Pm-3m (221)

```
TePb3Se
1.0
5.9794 0.0000 0.0000
0.0000 5.9794 0.0000
0.0000 0.0000 5.9794
Te Pb Se
1 3 1
Direct
0.0000 0.0000 0.0000 Te
0.0000 0.0000 0.5000 Pb
0.0000 0.5000 0.0000 Pb
0.5000 0.0000 0.0000 Pb
0.5000 0.5000 0.5000 Se
```

---

VASP calculation (PBE-GGA) on a relaxed structure of CeMgPa2O8.

Values from the calculation:
Volume   12.78 A^3/atom
Raw formation energy   -3.42 eV/atom
D(E_F)   0.00 states/eV/atom
VASP energy   -107.228 eV per cell
Symmetry   I-4m2 (119)

```
CeMgPa2O8
1.0
-2.6786 2.6786 5.3453
2.6786 -2.6786 5.3453
2.6786 2.6786 -5.3453
Ce Mg Pa O
1 1 2 8
Direct
0.0000 0.0000 0.0000 Ce
0.2500 0.7500 0.5000 Mg
0.5000 0.5000 0.0000 Pa
0.7500 0.2500 0.5000 Pa
0.1253 0.1323 0.5084 O
0.1253 0.6169 0.9930 O
0.3831 0.3761 0.5084 O
0.3831 0.8747 0.0070 O
0.6239 0.1323 0.0070 O
0.6239 0.6169 0.4916 O
0.8677 0.3761 0.9930 O
0.8677 0.8747 0.4916 O
```

---

VASP calculation (PBE-GGA) on a relaxed structure of Cs3Na2TmCl9.

Values from the calculation:
Volume   32.20 A^3/atom
Raw formation energy   -1.88 eV/atom
D(E_F)   0.96 states/eV/atom
VASP energy   -54.474 eV per cell
Symmetry   P-3m1 (164)

```
Cs3Na2TmCl9
1.0
7.5866 0.0000 0.0000
-3.7933 6.5702 0.0000
0.0000 0.0000 9.6906
Cs Na Tm Cl
3 2 1 9
Direct
0.0000 0.0000 0.0000 Cs
0.3333 0.6667 0.6734 Cs
0.6667 0.3333 0.3266 Cs
0.3333 0.6667 0.1756 Na
0.6667 0.3333 0.8244 Na
0.0000 0.0000 0.5000 Tm
0.0000 0.5000 0.0000 Cl
0.1612 0.3224 0.3442 Cl
0.1612 0.8388 0.3442 Cl
0.3224 0.1612 0.6558 Cl
0.5000 0.0000 0.0000 Cl
0.5000 0.5000 0.0000 Cl
0.6776 0.8388 0.3442 Cl
0.8388 0.1612 0.6558 Cl
0.8388 0.6776 0.6558 Cl
```